# CaMg2Bi2 (PBE-GGA, relaxed)
data_CaMg2Bi2
_chemical_formula_sum 'Ca1 Mg2 Bi2'
_cell_length_a 8.102
_cell_length_b 8.102
_cell_length_c 8.102
_cell_angle_alpha 147.66
_cell_angle_beta 147.66
_cell_angle_gamma 46.38
_symmetry_space_group_name_H-M 'P 1'
_symmetry_Int_Tables_number 1
_symmetry_space_group_name_Hall 'P 1'
loop_
_atom_site_label
_atom_site_fract_x
_atom_site_fract_y
_atom_site_fract_z
_atom_site_occupancy
Ca1 0.000 0.000 0.000 1
Mg1 0.250 0.750 0.500 1
Mg2 0.750 0.250 0.500 1
Bi1 0.382 0.382 0.000 1
Bi2 0.618 0.618 0.000 1
# total moment: 0.00 μB/f.u.
# calculated density: 5.55 Mg/m³
# space-group type: I4/mmm, No. 139
# VASP energy: -3.00 eV per atom
# calculated formation energy: -0.411 eV/atom
# distance to the lowest polymorph of the same formula: 0.63 eV per formula unit


# Ca2MgBi2 (PBE-GGA, relaxed)
data_Ca2MgBi2
_chemical_formula_sum 'Ca4 Mg2 Bi4'
_cell_length_a 9.400
_cell_length_b 9.400
_cell_length_c 3.618
_cell_angle_alpha 90.00
_cell_angle_beta 90.00
_cell_angle_gamma 90.00
_symmetry_space_group_name_H-M 'P 1'
_symmetry_Int_Tables_number 1
_symmetry_space_group_name_Hall 'P 1'
loop_
_atom_site_label
_atom_site_fract_x
_atom_site_fract_y
_atom_site_fract_z
_atom_site_occupancy
Ca1 0.135 0.365 0.000 1
Ca2 0.365 0.865 0.000 1
Ca3 0.635 0.135 0.000 1
Ca4 0.865 0.635 0.000 1
Mg1 0.000 0.000 0.000 1
Mg2 0.500 0.500 0.000 1
Bi1 0.166 0.666 0.500 1
Bi2 0.334 0.166 0.500 1
Bi3 0.666 0.834 0.500 1
Bi4 0.834 0.334 0.500 1
# total moment: 0.00 μB/f.u.
# calculated density: 5.43 Mg/m³
# space-group type: P4/mbm, No. 127
# VASP energy: -3.10 eV per atom
# calculated formation energy: -0.432 eV/atom


# Ca2MgBi (PBE-GGA, relaxed)
data_Ca2MgBi
_chemical_formula_sum 'Ca4 Mg2 Bi2'
_cell_length_a 11.704
_cell_length_b 11.704
_cell_length_c 11.704
_cell_angle_alpha 155.23
_cell_angle_beta 155.23
_cell_angle_gamma 35.31
_symmetry_space_group_name_H-M 'P 1'
_symmetry_Int_Tables_number 1
_symmetry_space_group_name_Hall 'P 1'
loop_
_atom_site_label
_atom_site_fract_x
_atom_site_fract_y
_atom_site_fract_z
_atom_site_occupancy
Ca1 0.114 0.625 0.989 1
Ca2 0.375 0.364 0.489 1
Ca3 0.636 0.125 0.011 1
Ca4 0.875 0.886 0.511 1
Mg1 0.250 0.750 0.500 1
Mg2 0.500 0.500 0.000 1
Bi1 0.000 0.000 0.000 1
Bi2 0.750 0.250 0.500 1
# total moment: 0.00 μB/f.u.
# calculated density: 3.70 Mg/m³
# space-group type: I-42d, No. 122
# VASP energy: -2.42 eV per atom
# calculated formation energy: -0.047 eV/atom
# distance to the lowest polymorph of the same formula: 1.77 eV per formula unit